Below is a relaxed structure of Tl2GaCuSe4, with properties calculated at the GGA-PBE level.

Summary:
For the size of the total moment, the calculation gives 0.000 μB per atom. For the uncorrected formation energy, the calculation gives -332 meV/atom.

a b c (Å): 10.259 8.116 7.255
angles (deg): 90.00 134.96 90.00
Space group C2 (No. 5)
Unique sites:
Tl (0.000, 0.000, 0.000) [2 per cell]
Tl (0.000, 0.251, 0.500) [2 per cell]
Ga (0.000, 0.500, 0.000) [2 per cell]
Cu (0.000, 0.750, 0.500) [2 per cell]
Se (0.170, 0.652, 0.406) [4 per cell]
Se (0.236, 0.347, 0.066) [4 per cell]